No. 1
CePa2P3 after structural relaxation, computed with GGA-PBE.

Results
The crystal system is orthorhombic. The symmetry is Immm, No. 71. Its total magnetization is 0.000 Bohr magnetons per cell. The value obtained for the formation energy is -1.389 eV/atom. For the density, the calculation gives 8.50 Mg/m³.

a b c (Å): 3.9958 5.6578 6.9330
angles (deg): 114.08 106.75 90.00
Fractional positions:
P1 0.3289 0.3289 0.6578
P2 0.6711 0.6711 0.3422
P3 0.0000 0.0000 0.0000
Ce1 0.0000 0.5000 0.0000
Pa1 0.6651 0.1651 0.3301
Pa2 0.3349 0.8349 0.6699



No. 2
Ce3PaP4 after structural relaxation, computed with GGA-PBE.

Results
The value obtained for the energy above the most stable polymorph in this dataset is 0.010 eV per atom. The crystal system is cubic. The symmetry is Pm-3m, No. 221. Its total magnetization is 1.178 Bohr magnetons per cell. The value obtained for the formation energy is -1.446 eV/atom. For the density, the calculation gives 6.87 Mg/m³.

a b c (Å): 5.7236 5.7236 5.7236
angles (deg): 90.00 90.00 90.00
Fractional positions:
P1 0.0000 0.0000 0.5000
P2 0.0000 0.5000 0.0000
P3 0.5000 0.5000 0.5000
P4 0.5000 0.0000 0.0000
Ce1 0.0000 0.5000 0.5000
Ce2 0.5000 0.5000 0.0000
Ce3 0.5000 0.0000 0.5000
Pa1 0.0000 0.0000 0.0000



No. 3
Ce2PmPa3P6 after structural relaxation, computed with GGA-PBE.

Results
The crystal system is monoclinic. The symmetry is C2/m, No. 12. Its total magnetization is 0.414 Bohr magnetons per cell. The value obtained for the formation energy is -1.422 eV/atom. For the density, the calculation gives 7.80 Mg/m³.

a b c (Å): 6.9707 6.9707 6.9923
angles (deg): 99.57 99.57 120.00
Fractional positions:
Pa1 0.8341 0.1659 0.5000
Pa2 0.5000 0.5000 0.5000
Pa3 0.1659 0.8341 0.5000
Ce1 0.6667 0.3333 0.0000
Ce2 0.3333 0.6667 0.0000
P1 0.5781 0.9130 0.7391
P2 0.2482 0.2482 0.7398
P3 0.9130 0.5781 0.7391
P4 0.0870 0.4219 0.2609
P5 0.4219 0.0870 0.2609
P6 0.7518 0.7518 0.2602
Pm1 0.0000 0.0000 0.0000



No. 4
Ce3Pm2PaP6 after structural relaxation, computed with GGA-PBE.

Results
The crystal system is monoclinic. The symmetry is C2/m, No. 12. Its total magnetization is 1.884 Bohr magnetons per cell. The value obtained for the formation energy is -1.496 eV/atom. For the density, the calculation gives 6.49 Mg/m³.

a b c (Å): 7.0644 7.0644 7.0743
angles (deg): 99.57 99.57 119.98
Fractional positions:
Pm1 0.3339 0.6661 0.0000
Pm2 0.6661 0.3339 0.0000
P1 0.0823 0.4052 0.2474
P2 0.2395 0.2395 0.7518
P3 0.9177 0.5948 0.7526
P4 0.5948 0.9177 0.7526
P5 0.7605 0.7605 0.2482
P6 0.4052 0.0823 0.2474
Ce1 0.8310 0.1690 0.5000
Ce2 0.1690 0.8310 0.5000
Ce3 0.5000 0.5000 0.5000
Pa1 0.0000 0.0000 0.0000



No. 5
CePmPa2P4 after structural relaxation, computed with GGA-PBE.

Results
The crystal system is monoclinic. The symmetry is P2/m, No. 10. Its total magnetization is 0.487 Bohr magnetons per cell. The value obtained for the formation energy is -1.425 eV/atom. For the density, the calculation gives 7.79 Mg/m³.

a b c (Å): 4.0294 6.9795 6.9992
angles (deg): 109.44 90.00 90.00
Fractional positions:
P1 0.5000 0.2528 0.2608
P2 0.0000 0.2446 0.7374
P3 0.5000 0.7472 0.7392
P4 0.0000 0.7554 0.2626
Pm1 0.5000 0.5000 0.0000
Pa1 0.5000 0.0000 0.5000
Pa2 0.0000 0.5000 0.5000
Ce1 0.0000 0.0000 0.0000



No. 6
Ce4PmPa3P8 after structural relaxation, computed with GGA-PBE.

Results
The crystal system is trigonal. The symmetry is R-3m, No. 166. Its total magnetization is 1.166 Bohr magnetons per cell. The value obtained for the formation energy is -1.443 eV/atom. For the density, the calculation gives 7.33 Mg/m³.

a b c (Å): 8.0759 8.0866 8.0763
angles (deg): 119.96 120.00 90.00
Fractional positions:
P1 0.7487 0.2563 0.0076
P2 0.2513 0.7437 0.5027
P3 0.7487 0.2563 0.4973
P4 0.7411 0.7437 0.9924
P5 0.2513 0.7437 0.9924
P6 0.2589 0.2563 0.0076
P7 0.2532 0.2595 0.5064
P8 0.7468 0.7405 0.4936
Ce1 0.0000 0.0000 0.0000
Ce2 0.0000 0.0000 0.5000
Ce3 0.5000 0.0000 0.0000
Ce4 0.5000 0.0000 0.5000
Pa1 0.5000 0.5000 0.0000
Pa2 0.5000 0.5000 0.5000
Pa3 0.0000 0.5000 0.5000
Pm1 0.0000 0.5000 0.0000



No. 7
CePr3Pa2P6 after structural relaxation, computed with GGA-PBE.

Results
The crystal system is monoclinic. The symmetry is C2/m, No. 12. Its total magnetization is 0.476 Bohr magnetons per cell. The value obtained for the formation energy is -1.456 eV/atom. For the density, the calculation gives 6.89 Mg/m³.

a b c (Å): 7.0889 7.0889 7.1123
angles (deg): 99.56 99.56 119.99
Fractional positions:
Pa1 0.6669 0.3331 0.0000
Pa2 0.3331 0.6669 0.0000
P1 0.0777 0.4180 0.2327
P2 0.5820 0.9223 0.7673
P3 0.7369 0.7369 0.2320
P4 0.9223 0.5820 0.7673
P5 0.4180 0.0777 0.2327
P6 0.2631 0.2631 0.7680
Pr1 0.1650 0.8350 0.5000
Pr2 0.8350 0.1650 0.5000
Pr3 0.5000 0.5000 0.5000
Ce1 0.0000 0.0000 0.0000



No. 8
Ce3PrPa2P6 after structural relaxation, computed with GGA-PBE.

Results
The crystal system is monoclinic. The symmetry is C2/m, No. 12. Its total magnetization is 1.570 Bohr magnetons per cell. The value obtained for the formation energy is -1.440 eV/atom. For the density, the calculation gives 7.06 Mg/m³.

a b c (Å): 7.0325 7.0325 7.0406
angles (deg): 99.59 99.59 119.99
Fractional positions:
Pa1 0.6671 0.3329 0.0000
Pa2 0.3329 0.6671 0.0000
P1 0.5735 0.9181 0.7548
P2 0.2634 0.2634 0.7565
P3 0.4265 0.0819 0.2452
P4 0.0819 0.4265 0.2452
P5 0.7366 0.7366 0.2435
P6 0.9181 0.5735 0.7548
Ce1 0.8362 0.1638 0.5000
Ce2 0.5000 0.5000 0.5000
Ce3 0.1638 0.8362 0.5000
Pr1 0.0000 0.0000 0.0000